First-principles (PBE-GGA) data for CdMo3 after structural relaxation, as listed in the Alexandria database.

## Properties
**Electronic total energy**: -7.850 eV per atom
**Crystal system**: orthorhombic

Unit cell a=5.1235 b=9.3961 c=5.6568 alpha=90.00 beta=90.00 gamma=90.00
Space group Pnma (No. 62)
Inequivalent atoms, fractional coordinates:
1 Cd 0.0528 0.2500 0.1195
2 Mo 0.0503 0.2500 0.6184
3 Mo 0.2450 0.0137 0.8283

***

First-principles (PBE-GGA) data for Hf3ScTc after structural relaxation, as listed in the Alexandria database.

## Properties
**Electronic total energy**: -8.930 eV per atom
**Crystal system**: cubic

Unit cell a=4.9979 b=4.9979 c=4.9979 alpha=90.00 beta=90.00 gamma=90.00
Space group Pm-3m (No. 221)
Inequivalent atoms, fractional coordinates:
1 Hf 0.0000 0.0000 0.5000
2 Sc 0.5000 0.5000 0.5000
3 Tc 0.0000 0.0000 0.0000

***

First-principles (PBE-GGA) data for Ce2YAl2Si2 after structural relaxation, as listed in the Alexandria database.

## Properties
**Formation energy (no corrections)**: -0.39 eV per atom
**Crystal system**: trigonal

Unit cell a=4.3030 b=4.3030 c=27.2521 alpha=90.00 beta=90.00 gamma=120.00
Space group R-3m (No. 166, hexagonal axes)
Inequivalent atoms, fractional coordinates:
1 Ce 0.0000 0.0000 0.1376
2 Y 0.0000 0.0000 0.0000
3 Al 0.0000 0.0000 0.4044
4 Si 0.0000 0.0000 0.2645

***

First-principles (PBE-GGA) data for BeCdW2 after structural relaxation, as listed in the Alexandria database.

## Properties
**Electronic total energy**: -6.972 eV per atom
**Crystal system**: tetragonal

Unit cell a=4.0245 b=4.0245 c=7.6778 alpha=90.00 beta=90.00 gamma=90.00
Space group I-4m2 (No. 119)
Inequivalent atoms, fractional coordinates:
1 Be 0.0000 0.0000 0.0000
2 Cd 0.0000 0.5000 0.7500
3 W 0.0000 0.0000 0.5000
4 W 0.0000 0.5000 0.2500

***

First-principles (PBE-GGA) data for Li2Cd3 after structural relaxation, as listed in the Alexandria database.

## Properties
**Electronic total energy**: -1.455 eV per atom
**Crystal system**: trigonal

Unit cell a=5.7449 b=5.7449 c=11.1520 alpha=90.00 beta=90.00 gamma=120.00
Space group R-3m (No. 166, hexagonal axes)
Inequivalent atoms, fractional coordinates:
1 Li 0.0000 0.0000 0.1178
2 Cd 0.0000 0.5000 0.0000

***

First-principles (PBE-GGA) data for MgRe3Cl after structural relaxation, as listed in the Alexandria database.

## Properties
**Formation energy (no corrections)**: 3.12 eV per atom
**Crystal system**: cubic

Unit cell a=4.6117 b=4.6117 c=4.6117 alpha=90.00 beta=90.00 gamma=90.00
Space group Pm-3m (No. 221)
Inequivalent atoms, fractional coordinates:
1 Mg 0.0000 0.0000 0.0000
2 Re 0.0000 0.0000 0.5000
3 Cl 0.5000 0.5000 0.5000

***

First-principles (PBE-GGA) data for LaYPd after structural relaxation, as listed in the Alexandria database.

## Properties
**Electronic total energy**: -6.092 eV per atom
**Crystal system**: monoclinic

Unit cell a=7.3832 b=6.5213 c=7.4610 alpha=90.00 beta=107.43 gamma=90.00
Space group P2_1/c (No. 14)
Inequivalent atoms, fractional coordinates:
1 La 0.1341 0.1352 0.3614
2 Y 0.4268 0.6612 0.2983
3 Pd 0.1832 0.5876 0.5203

***

First-principles (PBE-GGA) data for Cd3RhPb after structural relaxation, as listed in the Alexandria database.

## Properties
**Electronic total energy**: -2.818 eV per atom
**Crystal system**: monoclinic

Unit cell a=7.0852 b=3.7335 c=8.7972 alpha=90.00 beta=106.29 gamma=90.00
Space group P2_1/m (No. 11)
Inequivalent atoms, fractional coordinates:
1 Cd 0.0900 0.2500 0.1465
2 Cd 0.3248 0.7500 0.4102
3 Cd 0.3428 0.7500 0.0147
4 Rh 0.4917 0.7500 0.7408
5 Pb 0.1822 0.2500 0.6794